## La2BeHg (GGA-PBEsol)

Data for a relaxed structure of La2BeHg.

## Properties
**Size of the total moment**: 0.00 μB/f.u.
**E above lowest polymorph**: 106 meV per atom
**Energy relative to the elements**: 0.10 eV per atom

a = 3.694 Å, b = 3.694 Å, c = 9.395 Å
α = 78.66°, β = 78.66°, γ = 60.00°
Positions (direct):
La1 0.759 0.759 0.723
Hg1 0.000 0.000 0.000
Be1 0.500 0.500 0.500
La2 0.241 0.241 0.277



## RbPSCl2 (GGA-PBEsol)

Data for a relaxed structure of RbPSCl2.

## Properties
**Size of the total moment**: 0.00 μB/f.u.
**E_form (uncorrected)**: -0.755 eV per atom
**E above lowest polymorph**: 0 meV per atom

a = 4.471 Å, b = 5.081 Å, c = 5.081 Å
α = 90.00°, β = 90.00°, γ = 90.00°
Positions (direct):
Cl1 0.000 0.500 0.000
Rb1 0.500 0.500 0.500
Cl2 0.000 0.000 0.500
P1 0.000 0.000 0.000
S1 0.500 0.000 0.000



## Ti2ReMoI (GGA-PBEsol)

Data for a relaxed structure of Ti2ReMoI.

## Properties
**Size of the total moment**: 0.98 μB/f.u.
**E_form (uncorrected)**: 1.757 eV per atom

a = 4.549 Å, b = 4.549 Å, c = 4.984 Å
α = 90.00°, β = 90.00°, γ = 90.00°
Site moments in Bohr magnetons follow the coordinates.
Positions (direct):
Ti1 0.000 0.500 0.000  -0.11
I1 0.000 0.000 0.500  0.00
Mo1 0.000 0.000 0.000  0.05
Re1 0.500 0.500 0.500  1.02
Ti2 0.500 0.000 0.000  -0.11



## BaP2Pb (GGA-PBEsol)

Data for a relaxed structure of BaP2Pb.

## Properties
**Size of the total moment**: 0.00 μB/f.u.
**Energy relative to the elements**: -0.35 eV per atom

a = 4.494 Å, b = 4.319 Å, c = 6.053 Å
α = 90.00°, β = 111.69°, γ = 90.00°
Positions (direct):
Pb1 0.493 0.000 0.363
Ba1 0.229 0.500 0.833
P1 0.936 0.500 0.247
P2 0.842 0.000 0.058